No. 1
ZrMnPt3 | PBE-GGA | optimized geometry

E above lowest polymorph in meV per atom: 135
ΔH_f (0 K) in kJ/mol of atoms: -32.0
Raw total energy in eV per atom: -7.50

abc: 2.862 9.425 13.563
angles: 151.21 90.00 90.00
Last column: magnetic moment on the atom in μB.
Element x y z (fractional)
Mn 0.500 0.986 0.389  3.63
Mn 0.500 0.014 0.611  3.63
Pt 0.500 0.000 0.000  0.01
Pt 0.500 0.475 0.782  0.12
Pt 0.500 0.067 0.247  0.04
Pt 0.500 0.933 0.753  0.04
Pt 0.500 0.525 0.218  0.12
Pt 0.500 0.500 0.000  0.11
Zr 0.000 0.514 0.626  -0.06
Zr 0.000 0.486 0.374  -0.06

No. 2
NaSbPtO6 | PBE-GGA | optimized geometry

Raw total energy in eV per atom: -5.52
E_form (uncorrected) in eV per atom: -0.940

abc: 5.308 5.308 10.349
angles: 90.00 90.00 120.00
Last column: magnetic moment on the atom in μB.
Element x y z (fractional)
O 0.363 0.369 0.355  0.20
O 0.369 0.006 0.645  0.20
O 0.631 0.637 0.145  0.20
O 0.006 0.637 0.355  0.20
O 0.363 0.994 0.145  0.20
O 0.637 0.006 0.855  0.20
O 0.994 0.631 0.855  0.20
O 0.006 0.369 0.145  0.20
O 0.994 0.363 0.645  0.20
O 0.631 0.994 0.355  0.20
O 0.369 0.363 0.855  0.20
O 0.637 0.631 0.645  0.20
Sb 0.333 0.667 0.750  -0.01
Sb 0.667 0.333 0.250  -0.01
Na 0.000 0.000 0.500  0.00
Na 0.000 0.000 0.000  0.00
Pt 0.667 0.333 0.750  0.59
Pt 0.333 0.667 0.250  0.59